# 1
Density functional theory data (PBE-GGA) for a relaxed RbPuAl crystal.

Output
- Energy above the most stable polymorph in this dataset: 0.0 kJ per mole of atoms
- Space-group type: No. 216
- Final energy: -5.480 eV per atom
- Density: 4.935 g cm⁻³
- Total magnetic moment: 6.56 μB/cell

Cell: 5.535 5.535 5.535 Å, 60.00 60.00 60.00°
Each line ends with the local moment (μB).
Fractional coordinates of all 3 atoms:
Al: 0.000 0.000 0.000  0.05
Pu: 0.250 0.250 0.250  5.74
Rb: 0.750 0.750 0.750  0.03



# 2
Density functional theory data (PBE-GGA) for a relaxed FeCuReSi crystal.

Output
- Energy above the most stable polymorph in this dataset: 3.7 kJ per mole of atoms
- Space-group type: No. 216
- Final energy: -7.373 eV per atom
- Density: 11.370 g cm⁻³
- Total magnetic moment: 2.02 μB/cell

Cell: 4.100 4.100 4.100 Å, 60.00 60.00 60.00°
Fractional coordinates of all 4 atoms:
Re: 0.250 0.250 0.250
Fe: 0.750 0.750 0.750
Si: 0.000 0.000 0.000
Cu: 0.500 0.500 0.500